Model P:
CdMo5 (SCAN, PBEsol geometry); crystal system = orthorhombic; D(E_F) = 5.38 states/eV/cell
1.0
-2.1996 -0.4178 -1.3163
-0.6604 -3.9886 2.3696
-2.9314 4.1377 6.1477
Cd Mo
1 5
Direct
0.0063 0.0000 0.0127
0.7696 0.5000 0.5392
0.6754 0.0000 0.3507
0.4343 0.5000 0.8685
0.3404 0.0000 0.6807
0.1074 0.5000 0.2148

---

Model Q:
CdMo5 (SCAN, PBEsol geometry); crystal system = cubic; D(E_F) = 1.93 states/eV/cell
1.0
5.1775 0.0000 0.0000
2.5887 4.4838 0.0000
2.5887 1.4946 4.2274
Cd Mo
1 5
Direct
0.0000 0.0000 0.0000
0.3745 0.3745 0.3745
0.7500 0.7500 0.7500
0.8766 0.3745 0.3745
0.3745 0.8766 0.3745
0.3745 0.3745 0.8766

---

It is model Q that is the most stable of them.

---

Model P:
CdMoOs (SCAN, PBEsol geometry); crystal system = trigonal; D(E_F) = 1.46 states/eV/cell
1.0
2.8053 0.0000 0.0000
-1.4027 2.4295 0.0000
0.0000 0.0000 7.0475
Cd Mo Os
1 1 1
Direct
0.0000 0.0000 0.0029
0.3333 0.6667 0.6433
0.6667 0.3333 0.3537

---

Model Q:
CdMoOs (SCAN, PBEsol geometry); crystal system = cubic; D(E_F) = 3.14 states/eV/cell
1.0
-4.2881 0.2852 0.0161
-2.3645 -3.0664 -1.8643
-2.3233 -2.6892 2.4165
Cd Mo Os
1 1 1
Direct
0.0000 0.0000 0.0000
0.5000 0.5000 0.5000
0.2500 0.2500 0.2500

---

It is model P that is the most stable of them.

---

Model P:
ScCd2Mo (SCAN, PBEsol geometry); crystal system = tetragonal; D(E_F) = 1.88 states/eV/cell
1.0
4.1693 0.0000 0.0000
0.0000 4.1693 0.0000
0.0000 0.0000 4.2236
Cd Mo Sc
2 1 1
Direct
0.0000 0.5000 0.0000
0.5000 0.0000 0.0000
0.5000 0.5000 0.5000
0.0000 0.0000 0.5000

---

Model Q:
ScCd2Mo (SCAN, PBEsol geometry); crystal system = monoclinic; D(E_F) = 2.77 states/eV/cell
1.0
-2.4749 -0.6879 1.3130
-0.0065 -4.4926 -2.3661
3.8416 -1.0007 3.5477
Cd Mo Sc
2 1 1
Direct
0.2448 0.2412 0.4897
0.7552 0.7588 0.5103
0.5000 0.0000 0.0000
0.0000 0.5000 0.0000

---

It is model P that is the most stable of them.